Run i
The following is a GGA-PBE calculation of a relaxed Tb3CuSe6 crystal, from the Alexandria database.

a = 8.6242 Å, b = 8.6242 Å, c = 6.9802 Å
α = 90.00°, β = 90.00°, γ = 97.75°
With the nearest neighbours (Å) after each atom.
Fractional positions:
Tb  0.1041  0.8959  0.5000  7 Se 2.92-3.11
Tb  0.2211  0.4171  0.4028  7 Se 2.86-3.04
Tb  0.4171  0.2211  0.9028  7 Se 2.86-3.04
Tb  0.5829  0.7789  0.4028  7 Se 2.86-3.04
Tb  0.7789  0.5829  0.9028  7 Se 2.86-3.04
Tb  0.8959  0.1041  0.0000  7 Se 2.92-3.11
Cu  0.2933  0.7067  0.8579  4 Se 2.38-2.46
Cu  0.7067  0.2933  0.3579  4 Se 2.38-2.46
Se  0.0663  0.5914  0.6898  1 Cu 2.38
Se  0.1247  0.1960  0.6994  4 Tb 2.86-2.92
Se  0.1960  0.1247  0.1994  4 Tb 2.86-2.92
Se  0.2847  0.7153  0.2068  1 Cu 2.44
Se  0.4086  0.9337  0.6898  1 Cu 2.38
Se  0.4633  0.5367  0.7030  1 Cu 2.46
Se  0.5367  0.4633  0.2030  1 Cu 2.46
Se  0.5914  0.0663  0.1898  1 Cu 2.38
Se  0.7153  0.2847  0.7068  1 Cu 2.44
Se  0.8040  0.8753  0.6994  4 Tb 2.86-2.92
Se  0.8753  0.8040  0.1994  4 Tb 2.86-2.92
Se  0.9337  0.4086  0.1898  1 Cu 2.38

Results
The volume is 25.721 Å³/atom.

=====

Run ii
The following is a GGA-PBE calculation of a relaxed Tb3CuSe6 crystal, from the Alexandria database.

a = 7.1434 Å, b = 7.7989 Å, c = 16.9671 Å
α = 90.00°, β = 90.32°, γ = 90.00°
With the nearest neighbours (Å) after each atom.
Fractional positions:
Tb  0.2318  0.0583  0.0916  8 Se 2.92-3.20, 2 Cu 3.11-3.12
Tb  0.2318  0.4417  0.5916  8 Se 2.92-3.20, 2 Cu 3.11-3.12
Tb  0.2415  0.0571  0.4127  8 Se 2.93-3.08, 1 Cu 3.12
Tb  0.2415  0.4429  0.9127  8 Se 2.93-3.08, 1 Cu 3.12
Tb  0.2633  0.0587  0.7494  8 Se 2.81-3.11
Tb  0.2633  0.4413  0.2494  8 Se 2.81-3.11
Tb  0.7367  0.5587  0.7506  8 Se 2.81-3.11
Tb  0.7367  0.9413  0.2506  8 Se 2.81-3.11
Tb  0.7585  0.5571  0.0873  8 Se 2.93-3.08, 1 Cu 3.12
Tb  0.7585  0.9429  0.5873  8 Se 2.93-3.08, 1 Cu 3.12
Tb  0.7682  0.5583  0.4084  8 Se 2.92-3.20, 2 Cu 3.11-3.12
Tb  0.7682  0.9417  0.9084  8 Se 2.92-3.20, 2 Cu 3.11-3.12
Cu  0.3927  0.7042  0.4712  4 Se 2.40-2.58
Cu  0.3927  0.7958  0.9712  4 Se 2.40-2.58
Cu  0.6073  0.2042  0.0288  4 Se 2.40-2.58
Cu  0.6073  0.2958  0.5288  4 Se 2.40-2.58
Se  0.0661  0.7489  0.0006  1 Cu 2.42
Se  0.0661  0.7511  0.5006  1 Cu 2.42
Se  0.0715  0.7497  0.1742  1 Se 2.52
Se  0.0715  0.7503  0.6742  1 Se 2.52
Se  0.0746  0.7484  0.8228  1 Se 2.52
Se  0.0746  0.7516  0.3228  1 Se 2.52
Se  0.3816  0.0979  0.2515  4 Tb 2.81-2.93
Se  0.3816  0.4021  0.7515  4 Tb 2.81-2.93
Se  0.3845  0.0956  0.5813  1 Cu 2.40
Se  0.3845  0.4044  0.0813  1 Cu 2.40
Se  0.3930  0.0931  0.9170  2 Cu 2.49-2.58
Se  0.3930  0.4069  0.4170  2 Cu 2.49-2.58
Se  0.6070  0.5931  0.5830  2 Cu 2.49-2.58
Se  0.6070  0.9069  0.0830  2 Cu 2.49-2.58
Se  0.6155  0.5956  0.9187  1 Cu 2.40
Se  0.6155  0.9044  0.4187  1 Cu 2.40
Se  0.6184  0.5979  0.2485  4 Tb 2.81-2.93
Se  0.6184  0.9021  0.7485  4 Tb 2.81-2.93
Se  0.9254  0.2484  0.6772  1 Se 2.52
Se  0.9254  0.2516  0.1772  1 Se 2.52
Se  0.9285  0.2497  0.3258  1 Se 2.52
Se  0.9285  0.2503  0.8258  1 Se 2.52
Se  0.9339  0.2489  0.4994  1 Cu 2.42
Se  0.9339  0.2511  0.9994  1 Cu 2.42

Results
The volume is 23.631 Å³/atom.

=====

Which of them is the most stable? Correct choice: run ii.

=====

Run i
The following is a GGA-PBE calculation of a relaxed Tb2CuSe crystal, from the Alexandria database.

a = 3.9754 Å, b = 3.9754 Å, c = 21.1872 Å
α = 90.00°, β = 90.00°, γ = 120.00°
With the nearest neighbours (Å) after each atom.
Fractional positions:
Tb  0.0000  0.0000  0.2484  3 Cu 2.87, 3 Se 2.92
Tb  0.0000  0.0000  0.7516  3 Cu 2.87, 3 Se 2.92
Tb  0.3333  0.6667  0.4183  3 Cu 2.87, 3 Se 2.92
Tb  0.3333  0.6667  0.9150  3 Cu 2.87, 3 Se 2.92
Tb  0.6667  0.3333  0.0850  3 Cu 2.87, 3 Se 2.92
Tb  0.6667  0.3333  0.5817  3 Cu 2.87, 3 Se 2.92
Cu  0.0000  0.0000  0.5000  6 Tb 2.87
Cu  0.3333  0.6667  0.1667  6 Tb 2.87
Cu  0.6667  0.3333  0.8333  6 Tb 2.87
Se  0.0000  0.0000  0.0000  6 Tb 2.92
Se  0.3333  0.6667  0.6667  6 Tb 2.92
Se  0.6667  0.3333  0.3333  6 Tb 2.92

Results
The volume is 24.165 Å³/atom.

=====

Run ii
The following is a GGA-PBE calculation of a relaxed Tb2CuSe crystal, from the Alexandria database.

a = 4.0135 Å, b = 22.9160 Å, c = 4.0783 Å
α = 90.00°, β = 90.00°, γ = 90.00°
With the nearest neighbours (Å) after each atom.
Fractional positions:
Tb  0.0000  0.0663  0.2500  1 Se 2.90, 6 Cu 2.94-3.11
Tb  0.0000  0.3190  0.2500  5 Se 2.87-2.89
Tb  0.0000  0.6810  0.7500  5 Se 2.87-2.89
Tb  0.0000  0.9337  0.7500  1 Se 2.90, 6 Cu 2.94-3.11
Tb  0.5000  0.1810  0.7500  5 Se 2.87-2.89
Tb  0.5000  0.4337  0.7500  1 Se 2.90, 6 Cu 2.94-3.11
Tb  0.5000  0.5663  0.2500  1 Se 2.90, 6 Cu 2.94-3.11
Tb  0.5000  0.8190  0.2500  5 Se 2.87-2.89
Cu  0.0000  0.4626  0.2500  2 Cu 2.66, 4 Tb 2.94
Cu  0.0000  0.5374  0.7500  2 Cu 2.66, 4 Tb 2.94
Cu  0.5000  0.0374  0.7500  2 Cu 2.66, 4 Tb 2.94
Cu  0.5000  0.9626  0.2500  2 Cu 2.66, 4 Tb 2.94
Se  0.0000  0.1929  0.2500  6 Tb 2.87-2.90
Se  0.0000  0.8071  0.7500  6 Tb 2.87-2.90
Se  0.5000  0.3071  0.7500  6 Tb 2.87-2.90
Se  0.5000  0.6929  0.2500  6 Tb 2.87-2.90

Results
The volume is 23.443 Å³/atom.

=====

Which of them is the most stable? Correct choice: run ii.

=====

Run i
The following is a GGA-PBE calculation of a relaxed Cu3TeSe crystal, from the Alexandria database.

a = 3.8856 Å, b = 8.8862 Å, c = 8.8862 Å
α = 142.31°, β = 90.00°, γ = 90.00°
With the nearest neighbours (Å) after each atom.
Fractional positions:
Cu  0.2500  0.0520  0.9480  3 Se 2.48-2.72, 5 Cu 2.60-2.68
Cu  0.2500  0.6226  0.7369  1 Se 2.50, 6 Cu 2.60-2.73, 2 Te 2.79
Cu  0.2500  0.7797  0.1490  1 Se 2.35, 3 Te 2.60-2.61
Cu  0.7500  0.1490  0.7797  1 Se 2.35, 3 Te 2.60-2.61
Cu  0.7500  0.7369  0.6226  1 Se 2.50, 6 Cu 2.60-2.73, 2 Te 2.79
Cu  0.7500  0.9480  0.0520  3 Se 2.48-2.72, 5 Cu 2.60-2.68
Te  0.2500  0.8391  0.4864  6 Cu 2.60-2.85
Te  0.7500  0.4864  0.8391  6 Cu 2.60-2.85
Se  0.2500  0.1670  0.3366  4 Cu 2.35-2.50
Se  0.7500  0.3366  0.1670  4 Cu 2.35-2.50

Results
The volume is 18.759 Å³/atom.

=====

Run ii
The following is a GGA-PBE calculation of a relaxed Cu3TeSe crystal, from the Alexandria database.

a = 6.1551 Å, b = 8.2237 Å, c = 7.8354 Å
α = 90.00°, β = 93.72°, γ = 90.00°
With the nearest neighbours (Å) after each atom.
Fractional positions:
Cu  0.0601  0.2081  0.0857  3 Se 2.42-2.65, 2 Cu 2.57-2.70, 1 Te 2.60
Cu  0.0601  0.2919  0.5857  3 Se 2.42-2.65, 2 Cu 2.57-2.70, 1 Te 2.60
Cu  0.2945  0.5416  0.4469  2 Se 2.48-2.70, 1 Te 2.57, 5 Cu 2.57-2.77
Cu  0.2945  0.9584  0.9469  2 Se 2.48-2.70, 1 Te 2.57, 5 Cu 2.57-2.77
Cu  0.3845  0.0463  0.2615  1 Se 2.51, 3 Cu 2.59-2.70, 3 Te 2.65-2.67
Cu  0.3845  0.4537  0.7615  1 Se 2.51, 3 Cu 2.59-2.70, 3 Te 2.65-2.67
Cu  0.6155  0.5463  0.2385  1 Se 2.51, 3 Cu 2.59-2.70, 3 Te 2.65-2.67
Cu  0.6155  0.9537  0.7385  1 Se 2.51, 3 Cu 2.59-2.70, 3 Te 2.65-2.67
Cu  0.7055  0.0416  0.0531  2 Se 2.48-2.70, 1 Te 2.57, 5 Cu 2.57-2.77
Cu  0.7055  0.4584  0.5531  2 Se 2.48-2.70, 1 Te 2.57, 5 Cu 2.57-2.77
Cu  0.9399  0.7081  0.4143  3 Se 2.42-2.65, 2 Cu 2.57-2.70, 1 Te 2.60
Cu  0.9399  0.7919  0.9143  3 Se 2.42-2.65, 2 Cu 2.57-2.70, 1 Te 2.60
Te  0.4621  0.2052  0.5562  5 Cu 2.57-2.67
Te  0.4621  0.2948  0.0562  5 Cu 2.57-2.67
Te  0.5379  0.7052  0.9438  5 Cu 2.57-2.67
Te  0.5379  0.7948  0.4438  5 Cu 2.57-2.67
Se  0.0259  0.5940  0.7000  6 Cu 2.42-2.70
Se  0.0259  0.9060  0.2000  6 Cu 2.42-2.70
Se  0.9741  0.0940  0.8000  6 Cu 2.42-2.70
Se  0.9741  0.4060  0.3000  6 Cu 2.42-2.70

Results
The volume is 19.789 Å³/atom.

=====

Which of them is the most stable? Correct choice: run ii.

=====

Run i
The following is a GGA-PBE calculation of a relaxed Cu3TeSe crystal, from the Alexandria database.

a = 4.8732 Å, b = 4.8732 Å, c = 4.8732 Å
α = 90.00°, β = 90.00°, γ = 90.00°
With the nearest neighbours (Å) after each atom.
Fractional positions:
Cu  0.0000  0.0000  0.5000  2 Te 2.44
Cu  0.0000  0.5000  0.0000  2 Te 2.44
Cu  0.5000  0.0000  0.0000  2 Te 2.44
Te  0.0000  0.0000  0.0000  6 Cu 2.44
Se  0.5000  0.5000  0.5000  12 Cu 3.45

Results
The volume is 23.146 Å³/atom.

=====

Run ii
The following is a GGA-PBE calculation of a relaxed Cu3TeSe crystal, from the Alexandria database.

a = 4.6617 Å, b = 4.6617 Å, c = 4.6617 Å
α = 90.00°, β = 90.00°, γ = 90.00°
With the nearest neighbours (Å) after each atom.
Fractional positions:
Cu  0.0000  0.0000  0.5000  2 Se 2.33
Cu  0.0000  0.5000  0.0000  2 Se 2.33
Cu  0.5000  0.0000  0.0000  2 Se 2.33
Te  0.5000  0.5000  0.5000  12 Cu 3.30
Se  0.0000  0.0000  0.0000  6 Cu 2.33

Results
The volume is 20.260 Å³/atom.

=====

Which of them is the most stable? Correct choice: run ii.

=====

Run i
The following is a GGA-PBE calculation of a relaxed CuTeSe crystal, from the Alexandria database.

a = 3.1130 Å, b = 3.1130 Å, c = 16.0957 Å
α = 90.00°, β = 90.00°, γ = 90.00°
With the nearest neighbours (Å) after each atom.
Fractional positions:
Cu  0.0000  0.0000  0.0000  4 Se 2.53, 1 Te 2.61
Cu  0.5000  0.5000  0.5000  4 Se 2.53, 1 Te 2.61
Te  0.0000  0.0000  0.8380  1 Cu 2.61
Te  0.5000  0.5000  0.3380  1 Cu 2.61
Se  0.0000  0.0000  0.5771  4 Cu 2.53
Se  0.5000  0.5000  0.0771  4 Cu 2.53

Results
The volume is 25.996 Å³/atom.

=====

Run ii
The following is a GGA-PBE calculation of a relaxed CuTeSe crystal, from the Alexandria database.

a = 3.7331 Å, b = 5.8036 Å, c = 7.8049 Å
α = 102.46°, β = 103.50°, γ = 100.36°
With the nearest neighbours (Å) after each atom.
Fractional positions:
Cu  0.0999  0.2741  0.0309  2 Se 2.48, 2 Te 2.64-2.66
Cu  0.9001  0.7259  0.9691  2 Se 2.48, 2 Te 2.64-2.66
Te  0.4545  0.1893  0.7737  1 Se 2.60, 2 Cu 2.64-2.66
Te  0.5455  0.8107  0.2263  1 Se 2.60, 2 Cu 2.64-2.66
Se  0.2951  0.7280  0.7537  2 Cu 2.48, 1 Te 2.60
Se  0.7049  0.2720  0.2463  2 Cu 2.48, 1 Te 2.60

Results
The volume is 25.960 Å³/atom.

=====

Which of them is the most stable? Correct choice: run ii.

=====

Run i
The following is a GGA-PBE calculation of a relaxed CuTeSe crystal, from the Alexandria database.

a = 14.0738 Å, b = 3.8226 Å, c = 5.0647 Å
α = 90.00°, β = 90.00°, γ = 90.00°
With the nearest neighbours (Å) after each atom.
Fractional positions:
Cu  0.1510  0.2500  0.0102  3 Se 2.51-2.52, 2 Te 2.67
Cu  0.3490  0.7500  0.5102  3 Se 2.51-2.52, 2 Te 2.67
Cu  0.6510  0.2500  0.4898  3 Se 2.51-2.52, 2 Te 2.67
Cu  0.8490  0.7500  0.9898  3 Se 2.51-2.52, 2 Te 2.67
Te  0.0668  0.7500  0.7244  1 Se 2.64, 2 Cu 2.67
Te  0.4332  0.2500  0.2244  1 Se 2.64, 2 Cu 2.67
Te  0.5668  0.7500  0.7756  1 Se 2.64, 2 Cu 2.67
Te  0.9332  0.2500  0.2756  1 Se 2.64, 2 Cu 2.67
Se  0.1842  0.7500  0.3165  3 Cu 2.51-2.52, 1 Te 2.64
Se  0.3158  0.2500  0.8165  3 Cu 2.51-2.52, 1 Te 2.64
Se  0.6842  0.7500  0.1835  3 Cu 2.51-2.52, 1 Te 2.64
Se  0.8158  0.2500  0.6835  3 Cu 2.51-2.52, 1 Te 2.64

Results
The volume is 22.706 Å³/atom.

=====

Run ii
The following is a GGA-PBE calculation of a relaxed CuTeSe crystal, from the Alexandria database.

a = 3.8592 Å, b = 3.8592 Å, c = 4.9178 Å
α = 90.00°, β = 90.00°, γ = 120.00°
With the nearest neighbours (Å) after each atom.
Fractional positions:
Cu  0.0000  0.0000  0.0000  3 Se 2.55, 3 Te 2.68
Te  0.6667  0.3333  0.3024  3 Cu 2.68
Se  0.3333  0.6667  0.7484  3 Cu 2.55

Results
The volume is 21.144 Å³/atom.

=====

Run iii
The following is a GGA-PBE calculation of a relaxed CuTeSe crystal, from the Alexandria database.

a = 3.9249 Å, b = 7.1508 Å, c = 11.1632 Å
α = 90.00°, β = 90.00°, γ = 90.00°
With the nearest neighbours (Å) after each atom.
Fractional positions:
Cu  0.0000  0.0000  0.0000  2 Se 2.35, 2 Te 2.53
Cu  0.0000  0.5000  0.5000  2 Se 2.35, 2 Te 2.53
Cu  0.5000  0.0000  0.5000  2 Se 2.35, 2 Te 2.53
Cu  0.5000  0.5000  0.0000  2 Se 2.35, 2 Te 2.53
Te  0.0000  0.0000  0.3572  2 Cu 2.53
Te  0.0000  0.5000  0.8572  2 Cu 2.53
Te  0.5000  0.0000  0.8572  2 Cu 2.53
Te  0.5000  0.5000  0.3572  2 Cu 2.53
Se  0.0000  0.0000  0.6157  2 Cu 2.35
Se  0.0000  0.5000  0.1157  2 Cu 2.35
Se  0.5000  0.0000  0.1157  2 Cu 2.35
Se  0.5000  0.5000  0.6157  2 Cu 2.35

Results
The volume is 26.109 Å³/atom.

=====

Which of them is the most stable? Correct choice: run i.